TcNiIr2 | Alexandria via LeMat-Bulk | PBE-GGA | optimized geometry; ΔE_f = -96 meV per atom; total energy = -8.563 eV/atom; D(E_F) = 6.0 states/eV per cell; calculated volume = 13.7 Å³/atom
1.0
2.7140 0.0000 0.0000
0.0000 2.7140 0.0000
0.0000 0.0000 7.4427
Tc Ni Ir
1 1 2
Cartesian
0.0000 0.0000 0.0000 Tc
0.0000 0.0000 3.7213 Ni
1.3570 1.3570 1.9025 Ir
1.3570 1.3570 5.5402 Ir

=====

LaMnN3 | Alexandria via LeMat-Bulk | PBE-GGA | optimized geometry; total energy = -7.889 eV/atom; D(E_F) = 7.4 states/eV per cell; E_form (uncorrected) = -0.07 eV per atom; calculated volume = 12.2 Å³/atom
1.0
1.7615 -6.7796 0.0000
1.7615 6.7796 0.0000
0.0000 0.0000 5.1080
La Mn N
2 2 6
Cartesian
1.7615 4.7310 3.8310 La
1.7615 -4.7310 1.2770 La
1.7615 0.6770 3.8310 Mn
1.7615 -0.6770 1.2770 Mn
0.0000 0.0000 0.0000 N
0.0000 0.0000 2.5540 N
0.6337 2.2709 3.8310 N
0.6337 -2.2709 1.2770 N
2.8893 2.2709 3.8310 N
2.8893 -2.2709 1.2770 N

=====

Hf2PdN | Alexandria via LeMat-Bulk | PBE-GGA | optimized geometry; total energy = -9.474 eV/atom; D(E_F) = 2.1 states/eV per cell; E_form (uncorrected) = -1.12 eV per atom; calculated volume = 15.4 Å³/atom
1.0
1.5929 0.9197 7.0149
-1.5929 0.9197 7.0149
0.0000 -1.8393 7.0149
Hf Pd N
2 1 1
Cartesian
0.0000 0.0000 4.7940 Hf
0.0000 0.0000 16.2506 Hf
0.0000 0.0000 0.0000 Pd
0.0000 0.0000 10.5223 N

=====

YBTeN2 | Alexandria via LeMat-Bulk | PBE-GGA | optimized geometry; total energy = -5.013 eV/atom; D(E_F) = 1.8 states/eV per cell; E_form (uncorrected) = 1.57 eV per atom; calculated volume = 24.3 Å³/atom
1.0
4.3868 0.0000 0.0000
0.0000 4.3868 0.0000
0.0000 0.0000 6.3176
Y B Te N
1 1 1 2
Cartesian
0.0000 0.0000 0.0000 Y
2.1934 2.1934 3.1588 B
0.0000 0.0000 3.1588 Te
0.0000 2.1934 0.0000 N
2.1934 0.0000 0.0000 N

=====

DyHoTe2 | Alexandria via LeMat-Bulk | PBE-GGA | optimized geometry; total energy = -5.156 eV/atom; D(E_F) = 1.5 states/eV per cell; E_form (uncorrected) = -1.29 eV per atom; calculated volume = 29.1 Å³/atom
1.0
2.0936 1.2087 7.6567
-2.0936 1.2087 7.6567
0.0000 -2.4175 7.6567
Dy Ho Te
1 1 2
Cartesian
0.0000 0.0000 0.0000 Dy
0.0000 0.0000 18.9896 Ho
0.0000 0.0000 5.6353 Te
0.0000 0.0000 9.5284 Te

=====

CeTe2As | Alexandria via LeMat-Bulk | PBE-GGA | optimized geometry; total energy = -4.207 eV/atom; D(E_F) = 9.0 states/eV per cell; E_form (uncorrected) = 0.01 eV per atom; calculated volume = 33.9 Å³/atom
1.0
2.0191 1.1657 9.5933
-2.0191 1.1657 9.5933
0.0000 -2.3314 9.5933
Ce Te As
1 2 1
Cartesian
0.0000 0.0000 0.0000 Ce
0.0000 0.0000 3.1056 Te
0.0000 0.0000 25.6742 Te
0.0000 0.0000 14.3899 As